[1]
Computed, not measured: crystalline YOs3 at its relaxed geometry at the PBE level of DFT.

Cell lengths 2.8504, 2.8504, 9.4547 Å; angles 90.00, 90.00, 120.00 degrees
With the nearest neighbours (Å) after each atom.
Element x y z (fractional)
Y1 0.0000 0.0000 0.0000  6 Y 2.85, 6 Os 3.11
Os1 0.0000 0.0000 0.5000  12 Os 2.66-2.85
Os2 0.6667 0.3333 0.2791  9 Os 2.66-2.85
Os3 0.6667 0.3333 0.7209  9 Os 2.66-2.85

Properties
Energy relative to the elements, meV/atom: 376


[2]
Computed, not measured: crystalline YOs3 at its relaxed geometry at the PBE level of DFT.

Cell lengths 5.4758, 9.1925, 5.4706 Å; angles 90.00, 90.00, 90.00 degrees
With the nearest neighbours (Å) after each atom.
Element x y z (fractional)
Y1 0.0361 0.2500 0.1064  7 Os 2.71-2.97
Y2 0.4639 0.7500 0.6064  7 Os 2.71-2.97
Y3 0.5361 0.2500 0.3936  7 Os 2.71-2.97
Y4 0.9639 0.7500 0.8936  7 Os 2.71-2.97
Os1 0.0691 0.2500 0.6121  4 Os 2.52-2.79, 2 Y 2.71-2.77
Os2 0.1838 0.5225 0.3422  3 Os 2.52-2.79
Os3 0.1838 0.9775 0.3422  3 Os 2.52-2.79
Os4 0.3162 0.0225 0.8422  3 Os 2.52-2.79
Os5 0.3162 0.4775 0.8422  3 Os 2.52-2.79
Os6 0.4309 0.7500 0.1121  4 Os 2.52-2.79, 2 Y 2.71-2.77
Os7 0.5691 0.2500 0.8879  4 Os 2.52-2.79, 2 Y 2.71-2.77
Os8 0.6838 0.5225 0.1578  3 Os 2.52-2.79
Os9 0.6838 0.9775 0.1578  3 Os 2.52-2.79
Os10 0.8162 0.0225 0.6579  3 Os 2.52-2.79
Os11 0.8162 0.4775 0.6579  3 Os 2.52-2.79
Os12 0.9309 0.7500 0.3879  4 Os 2.52-2.79, 2 Y 2.71-2.77

Properties
Energy relative to the elements, meV/atom: 204


[3]
Computed, not measured: crystalline Y6Os7 at its relaxed geometry at the PBE level of DFT.

Cell lengths 10.6897, 10.6897, 10.6897 Å; angles 29.30, 29.30, 29.30 degrees
With the nearest neighbours (Å) after each atom.
Element x y z (fractional)
Y1 0.0528 0.0528 0.0528  6 Os 3.00, 2 Y 3.02-3.24
Y2 0.1513 0.1513 0.1513  4 Y 3.02-3.26, 12 Os 3.08-3.21
Y3 0.3360 0.3360 0.3360  6 Y 3.13-3.48, 6 Os 3.25-3.36
Y4 0.6640 0.6640 0.6640  6 Y 3.13-3.48, 6 Os 3.25-3.36
Y5 0.8487 0.8487 0.8487  4 Y 3.02-3.26, 12 Os 3.08-3.21
Y6 0.9472 0.9472 0.9472  6 Os 3.00, 2 Y 3.02-3.24
Os1 0.0871 0.5989 0.5989  5 Os 2.64-2.77
Os2 0.4011 0.4011 0.9129  5 Os 2.64-2.77
Os3 0.4011 0.9129 0.4011  5 Os 2.64-2.77
Os4 0.5000 0.5000 0.5000  6 Os 2.72
Os5 0.5989 0.0871 0.5989  5 Os 2.64-2.77
Os6 0.5989 0.5989 0.0871  5 Os 2.64-2.77
Os7 0.9129 0.4011 0.4011  5 Os 2.64-2.77

Properties
Energy relative to the elements, meV/atom: -163


Among the records above, which one has the highest energy relative to the elements? number 1